Below is an optimized crystal structure of Mg14GaSb, with properties calculated at the PBE-GGA level.

Calculated values
- ΔE_f (raw) (eV/atom) = -0.0409
- M_tot (μB per atom) = 0.000

Structure (POSCAR):
```
Mg14GaSb
1.0
6.388 0.000 0.000
-3.194 5.532 0.000
0.000 0.000 10.155
Mg Ga Sb
14 1 1
Direct
0.000 0.000 0.249 Mg
0.000 0.000 0.751 Mg
0.331 0.165 0.500 Mg
0.334 0.167 0.000 Mg
0.501 0.001 0.254 Mg
0.501 0.001 0.746 Mg
0.501 0.499 0.254 Mg
0.501 0.499 0.746 Mg
0.833 0.167 0.000 Mg
0.833 0.666 0.000 Mg
0.835 0.165 0.500 Mg
0.835 0.669 0.500 Mg
0.999 0.499 0.254 Mg
0.999 0.499 0.746 Mg
0.333 0.667 0.500 Ga
0.333 0.667 0.000 Sb
```